Entry 1:
# Al3Ag5 | the Alexandria database | PBEsol | optimized geometry
data_Al3Ag5
_space_group_name_H-M_alt 'P 1'
_space_group_IT_number 1
_cell_length_a 3.944
_cell_length_b 3.944
_cell_length_c 8.226
_cell_angle_alpha 90.00
_cell_angle_beta 90.00
_cell_angle_gamma 90.00
loop_
_space_group_symop_operation_xyz
'x,y,z'
loop_
_atom_site_label
_atom_site_fract_x
_atom_site_fract_y
_atom_site_fract_z
Al1 0.000 0.000 0.000
Al2 0.000 0.500 0.259
Al3 0.500 0.000 0.741
Ag1 0.000 0.000 0.500
Ag2 0.000 0.500 0.759
Ag3 0.500 0.000 0.241
Ag4 0.500 0.500 0.000
Ag5 0.500 0.500 0.500
# excess energy over the best structure of this formula in the dataset: 0.000 eV/atom
# formation energy: -9 kJ per mole of atoms
# density of states at the Fermi level: 2.0 states/eV per cell

Entry 2:
# Al2Ag3 | the Alexandria database | PBEsol | optimized geometry
data_Al2Ag3
_space_group_name_H-M_alt 'P 1'
_space_group_IT_number 1
_cell_length_a 7.371
_cell_length_b 7.371
_cell_length_c 5.966
_cell_angle_alpha 100.68
_cell_angle_beta 100.68
_cell_angle_gamma 30.52
loop_
_space_group_symop_operation_xyz
'x,y,z'
loop_
_atom_site_label
_atom_site_fract_x
_atom_site_fract_y
_atom_site_fract_z
Al1 0.000 0.000 0.000
Al2 0.000 0.000 0.496
Al3 0.207 0.207 0.114
Al4 0.605 0.605 0.799
Ag1 0.196 0.196 0.607
Ag2 0.404 0.404 0.203
Ag3 0.412 0.412 0.708
Ag4 0.602 0.602 0.282
Ag5 0.800 0.800 0.905
Ag6 0.803 0.803 0.407
# excess energy over the best structure of this formula in the dataset: 0.010 eV/atom
# formation energy: -7 kJ per mole of atoms
# density of states at the Fermi level: 3.0 states/eV per cell

Entry 3:
# Al5Ag3 | the Alexandria database | PBEsol | optimized geometry
data_Al5Ag3
_space_group_name_H-M_alt 'P 1'
_space_group_IT_number 1
_cell_length_a 18.057
_cell_length_b 18.057
_cell_length_c 18.057
_cell_angle_alpha 9.17
_cell_angle_beta 9.17
_cell_angle_gamma 9.17
loop_
_space_group_symop_operation_xyz
'x,y,z'
loop_
_atom_site_label
_atom_site_fract_x
_atom_site_fract_y
_atom_site_fract_z
Al1 0.000 0.000 0.000
Al2 0.124 0.124 0.124
Al3 0.249 0.249 0.249
Al4 0.624 0.624 0.624
Al5 0.874 0.874 0.874
Ag1 0.374 0.374 0.374
Ag2 0.499 0.499 0.499
Ag3 0.751 0.751 0.751
# excess energy over the best structure of this formula in the dataset: 0.013 eV/atom
# formation energy: -4 kJ per mole of atoms
# density of states at the Fermi level: 2.6 states/eV per cell

Entry 4:
# Al5Ag3 | the Alexandria database | PBEsol | optimized geometry
data_Al5Ag3
_space_group_name_H-M_alt 'P 1'
_space_group_IT_number 1
_cell_length_a 4.903
_cell_length_b 4.938
_cell_length_c 5.682
_cell_angle_alpha 74.55
_cell_angle_beta 88.00
_cell_angle_gamma 79.47
loop_
_space_group_symop_operation_xyz
'x,y,z'
loop_
_atom_site_label
_atom_site_fract_x
_atom_site_fract_y
_atom_site_fract_z
Al1 0.000 0.000 0.000
Al2 0.004 0.006 0.501
Al3 0.267 0.504 0.363
Al4 0.502 0.000 0.755
Al5 0.765 0.503 0.627
Ag1 0.261 0.499 0.859
Ag2 0.505 0.004 0.259
Ag3 0.765 0.503 0.129
# excess energy over the best structure of this formula in the dataset: 0.031 eV/atom
# formation energy: -3 kJ per mole of atoms
# density of states at the Fermi level: 2.8 states/eV per cell